Below is a relaxed ScSnTeC2 crystal, with properties calculated at the GGA-PBE level.

Lattice parameters (Å, degrees): 4.274 5.815 4.274 90.00 90.00 90.00
Fractional positions:
Sc 0.500 0.500 0.500
C 0.000 0.000 0.500
C 0.500 0.000 0.000
Te 0.000 0.000 0.000
Sn 0.000 0.500 0.000

E_form (uncorrected)	1.95	eV/atom
total magnetic moment	0.002	μB/atom
space group	P4/mmm
E_tot	-4.435	eV per atom

---

Below is a relaxed TmGaSb2 crystal, with properties calculated at the GGA-PBE level.

Lattice parameters (Å, degrees): 4.106 4.106 7.786 74.71 74.71 60.00
Fractional positions:
Sb 0.256 0.256 0.233
Sb 0.744 0.744 0.767
Tm 0.500 0.500 0.500
Ga 0.000 0.000 0.000

E_form (uncorrected)	-0.32	eV/atom
total magnetic moment	0.000	μB/atom
space group	R-3m
E_tot	-4.252	eV per atom

---

Below is a relaxed TlBSe2Br crystal, with properties calculated at the GGA-PBE level.

Lattice parameters (Å, degrees): 5.396 5.396 5.689 90.00 90.00 90.00
Last column: magnetic moment on the atom in μB.
Fractional positions:
Tl 0.000 0.000 0.000  0.01
B 0.500 0.500 0.500  -0.02
Se 0.000 0.500 0.000  0.16
Se 0.500 0.000 0.000  0.16
Br 0.000 0.000 0.500  0.05

E_form (uncorrected)	1.27	eV/atom
total magnetic moment	0.109	μB/atom
space group	P4/mmm
E_tot	-2.271	eV per atom

---

Below is a relaxed TbCF crystal, with properties calculated at the GGA-PBE level.

Lattice parameters (Å, degrees): 3.687 4.091 6.656 100.70 90.00 116.78
Fractional positions:
Tb 0.819 0.638 0.776
Tb 0.181 0.362 0.224
C 0.435 0.869 0.058
C 0.565 0.131 0.942
F 0.818 0.636 0.405
F 0.182 0.364 0.595

E_form (uncorrected)	-1.98	eV/atom
total magnetic moment	0.000	μB/atom
space group	C2/m
E_tot	-7.219	eV per atom

---

Below is a relaxed Ba2Zn2RhO6 crystal, with properties calculated at the GGA-PBE level.

Lattice parameters (Å, degrees): 5.954 5.954 6.472 62.61 62.61 60.00
Last column: magnetic moment on the atom in μB.
Fractional positions:
Ba 0.785 0.785 0.646  0.01
Ba 0.215 0.215 0.354  0.01
Zn 0.407 0.407 0.779  0.01
Zn 0.593 0.593 0.221  0.01
Rh 0.000 0.000 0.000  0.62
O 0.768 0.768 0.241  0.06
O 0.223 0.768 0.241  0.06
O 0.768 0.223 0.241  0.06
O 0.232 0.777 0.759  0.06
O 0.777 0.232 0.759  0.06
O 0.232 0.232 0.759  0.06

E_form (uncorrected)	-1.56	eV/atom
total magnetic moment	0.096	μB/atom
space group	R-3m
E_tot	-5.517	eV per atom

---

Below is a relaxed LaNiAgHg2 crystal, with properties calculated at the GGA-PBE level.

Lattice parameters (Å, degrees): 5.174 4.932 5.174 90.00 90.00 90.00
Fractional positions:
Ni 0.000 0.500 0.000
Hg 0.000 0.000 0.500
Hg 0.500 0.000 0.000
Ag 0.000 0.000 0.000
La 0.500 0.500 0.500

total magnetic moment	0.000	μB/atom
calculated formation energy	1.4	eV per formula unit
space group	P4/mmm
E_tot	-2.551	eV per atom

---

Below is a relaxed HgPH2 crystal, with properties calculated at the GGA-PBE level.

Lattice parameters (Å, degrees): 4.018 4.018 4.018 60.00 60.00 60.00
Fractional positions:
P 0.000 0.000 0.000
Hg 0.500 0.500 0.500
H 0.250 0.250 0.250
H 0.750 0.750 0.750

total magnetic moment	0.000	μB/atom
space group	Fm-3m
E_tot	-2.015	eV per atom

---

Below is a relaxed Mg2MnSi crystal, with properties calculated at the GGA-PBE level.

Lattice parameters (Å, degrees): 5.064 5.064 2.886 89.96 89.96 113.41
Last column: magnetic moment on the atom in μB.
Fractional positions:
Mg 0.000 0.000 0.000  -0.03
Mg 0.500 0.500 0.000  -0.03
Mn 0.500 0.000 0.500  3.36
Si 0.000 0.500 0.500  0.00

E_form (uncorrected)	0.15	eV/atom
total magnetic moment	0.850	μB/atom
space group	Cmmm
E_tot	-4.292	eV per atom